# Hf2NbCl PBE optimized geometry
# Energy relative to the elements, uncorrected (eV/atom): 0.64
# Distance to the lowest polymorph of the same formula (eV/atom): 1.019
data_Hf2NbCl
_chemical_formula_sum 'Hf4 Nb2 Cl2'
_symmetry_space_group_name_H-M 'P 1'
_symmetry_Int_Tables_number 1
_cell_length_a 10.265
_cell_length_b 10.265
_cell_length_c 10.265
_cell_angle_alpha 156.81
_cell_angle_beta 156.81
_cell_angle_gamma 33.03
loop_
_symmetry_equiv_pos_as_xyz
'x,y,z'
loop_
_atom_site_label
_atom_site_fract_x
_atom_site_fract_y
_atom_site_fract_z
Hf1 0.122 0.625 0.997
Hf2 0.375 0.372 0.497
Hf3 0.628 0.125 0.003
Hf4 0.875 0.878 0.503
Nb1 0.000 0.000 0.000
Nb2 0.750 0.250 0.500
Cl1 0.250 0.750 0.500
Cl2 0.500 0.500 0.000

=====

# Hf3NbCl PBE optimized geometry
# Energy relative to the elements, uncorrected (eV/atom): 1.03
# Distance to the lowest polymorph of the same formula (eV/atom): 0.821
data_Hf3NbCl
_chemical_formula_sum 'Hf3 Nb1 Cl1'
_symmetry_space_group_name_H-M 'P 1'
_symmetry_Int_Tables_number 1
_cell_length_a 5.158
_cell_length_b 5.158
_cell_length_c 5.158
_cell_angle_alpha 90.00
_cell_angle_beta 90.00
_cell_angle_gamma 90.00
loop_
_symmetry_equiv_pos_as_xyz
'x,y,z'
loop_
_atom_site_label
_atom_site_fract_x
_atom_site_fract_y
_atom_site_fract_z
Hf1 0.000 0.000 0.500
Hf2 0.000 0.500 0.000
Hf3 0.500 0.000 0.000
Nb1 0.000 0.000 0.000
Cl1 0.500 0.500 0.500

=====

# Hf2NbCl PBE optimized geometry
# Energy relative to the elements, uncorrected (eV/atom): -0.35
# Distance to the lowest polymorph of the same formula (eV/atom): 0.033
data_Hf2NbCl
_chemical_formula_sum 'Hf4 Nb2 Cl2'
_symmetry_space_group_name_H-M 'P 1'
_symmetry_Int_Tables_number 1
_cell_length_a 6.170
_cell_length_b 6.170
_cell_length_c 8.868
_cell_angle_alpha 104.24
_cell_angle_beta 104.24
_cell_angle_gamma 31.89
loop_
_symmetry_equiv_pos_as_xyz
'x,y,z'
loop_
_atom_site_label
_atom_site_fract_x
_atom_site_fract_y
_atom_site_fract_z
Hf1 0.000 0.000 0.000
Hf2 0.022 0.022 0.365
Hf3 0.302 0.302 0.452
Hf4 0.719 0.719 0.915
Nb1 0.361 0.361 0.151
Nb2 0.661 0.661 0.218
Cl1 0.105 0.105 0.698
Cl2 0.841 0.841 0.695

=====

# Hf2NbCl PBE optimized geometry
# Energy relative to the elements, uncorrected (eV/atom): -0.38
# Distance to the lowest polymorph of the same formula (eV/atom): 0.000
data_Hf2NbCl
_chemical_formula_sum 'Hf2 Nb1 Cl1'
_symmetry_space_group_name_H-M 'P 1'
_symmetry_Int_Tables_number 1
_cell_length_a 8.135
_cell_length_b 8.135
_cell_length_c 8.135
_cell_angle_alpha 156.26
_cell_angle_beta 156.26
_cell_angle_gamma 33.82
loop_
_symmetry_equiv_pos_as_xyz
'x,y,z'
loop_
_atom_site_label
_atom_site_fract_x
_atom_site_fract_y
_atom_site_fract_z
Hf1 0.108 0.108 0.000
Hf2 0.892 0.892 0.000
Nb1 0.500 0.500 0.000
Cl1 0.250 0.750 0.500

=====

# HfNb3Cl PBE optimized geometry
# Energy relative to the elements, uncorrected (eV/atom): 0.41
# Distance to the lowest polymorph of the same formula (eV/atom): 0.000
data_HfNb3Cl
_chemical_formula_sum 'Hf1 Nb3 Cl1'
_symmetry_space_group_name_H-M 'P 1'
_symmetry_Int_Tables_number 1
_cell_length_a 4.605
_cell_length_b 4.605
_cell_length_c 4.605
_cell_angle_alpha 90.00
_cell_angle_beta 90.00
_cell_angle_gamma 90.00
loop_
_symmetry_equiv_pos_as_xyz
'x,y,z'
loop_
_atom_site_label
_atom_site_fract_x
_atom_site_fract_y
_atom_site_fract_z
Hf1 0.000 0.000 0.000
Nb1 0.000 0.500 0.500
Nb2 0.500 0.000 0.500
Nb3 0.500 0.500 0.000
Cl1 0.500 0.500 0.500

=====

# HfNb3Cl PBE optimized geometry
# Energy relative to the elements, uncorrected (eV/atom): 1.79
# Distance to the lowest polymorph of the same formula (eV/atom): 1.376
data_HfNb3Cl
_chemical_formula_sum 'Hf1 Nb3 Cl1'
_symmetry_space_group_name_H-M 'P 1'
_symmetry_Int_Tables_number 1
_cell_length_a 5.028
_cell_length_b 5.028
_cell_length_c 5.028
_cell_angle_alpha 90.00
_cell_angle_beta 90.00
_cell_angle_gamma 90.00
loop_
_symmetry_equiv_pos_as_xyz
'x,y,z'
loop_
_atom_site_label
_atom_site_fract_x
_atom_site_fract_y
_atom_site_fract_z
Hf1 0.000 0.000 0.000
Nb1 0.000 0.000 0.500
Nb2 0.000 0.500 0.000
Nb3 0.500 0.000 0.000
Cl1 0.500 0.500 0.500

=====

# HfNbCl PBE optimized geometry
# Energy relative to the elements, uncorrected (eV/atom): -0.51
data_HfNbCl
_chemical_formula_sum 'Hf2 Nb2 Cl2'
_symmetry_space_group_name_H-M 'P 1'
_symmetry_Int_Tables_number 1
_cell_length_a 3.138
_cell_length_b 3.139
_cell_length_c 15.029
_cell_angle_alpha 84.96
_cell_angle_beta 84.27
_cell_angle_gamma 62.76
loop_
_symmetry_equiv_pos_as_xyz
'x,y,z'
loop_
_atom_site_label
_atom_site_fract_x
_atom_site_fract_y
_atom_site_fract_z
Hf1 0.214 0.205 0.414
Hf2 0.786 0.795 0.586
Nb1 0.221 0.247 0.752
Nb2 0.779 0.753 0.248
Cl1 0.161 0.123 0.132
Cl2 0.839 0.877 0.868

=====

# HfNbPCl2 PBE optimized geometry
# Energy relative to the elements, uncorrected (eV/atom): 0.25
# Distance to the lowest polymorph of the same formula (eV/atom): 0.177
data_HfNbPCl2
_chemical_formula_sum 'Hf1 Nb1 P1 Cl2'
_symmetry_space_group_name_H-M 'P 1'
_symmetry_Int_Tables_number 1
_cell_length_a 4.681
_cell_length_b 4.681
_cell_length_c 5.171
_cell_angle_alpha 90.00
_cell_angle_beta 90.00
_cell_angle_gamma 90.00
loop_
_symmetry_equiv_pos_as_xyz
'x,y,z'
loop_
_atom_site_label
_atom_site_fract_x
_atom_site_fract_y
_atom_site_fract_z
Hf1 0.000 0.000 0.000
Nb1 0.500 0.500 0.500
P1 0.500 0.500 0.000
Cl1 0.000 0.500 0.500
Cl2 0.500 0.000 0.500

=====

# HfNbP2Cl PBE optimized geometry
# Energy relative to the elements, uncorrected (eV/atom): 0.29
# Distance to the lowest polymorph of the same formula (eV/atom): 0.000
data_HfNbP2Cl
_chemical_formula_sum 'Hf1 Nb1 P2 Cl1'
_symmetry_space_group_name_H-M 'P 1'
_symmetry_Int_Tables_number 1
_cell_length_a 4.871
_cell_length_b 4.871
_cell_length_c 4.590
_cell_angle_alpha 90.00
_cell_angle_beta 90.00
_cell_angle_gamma 90.00
loop_
_symmetry_equiv_pos_as_xyz
'x,y,z'
loop_
_atom_site_label
_atom_site_fract_x
_atom_site_fract_y
_atom_site_fract_z
Hf1 0.000 0.000 0.000
Nb1 0.500 0.500 0.500
P1 0.000 0.500 0.500
P2 0.500 0.000 0.500
Cl1 0.500 0.500 0.000

=====

# HfNbP2Cl PBE optimized geometry
# Energy relative to the elements, uncorrected (eV/atom): 0.33
# Distance to the lowest polymorph of the same formula (eV/atom): 0.037
data_HfNbP2Cl
_chemical_formula_sum 'Hf1 Nb1 P2 Cl1'
_symmetry_space_group_name_H-M 'P 1'
_symmetry_Int_Tables_number 1
_cell_length_a 5.005
_cell_length_b 5.005
_cell_length_c 4.738
_cell_angle_alpha 90.00
_cell_angle_beta 90.00
_cell_angle_gamma 90.00
loop_
_symmetry_equiv_pos_as_xyz
'x,y,z'
loop_
_atom_site_label
_atom_site_fract_x
_atom_site_fract_y
_atom_site_fract_z
Hf1 0.000 0.000 0.000
Nb1 0.500 0.500 0.500
P1 0.000 0.500 0.000
P2 0.500 0.000 0.000
Cl1 0.000 0.000 0.500

=====

# HfNbPCl2 PBE optimized geometry
# Energy relative to the elements, uncorrected (eV/atom): 0.07
# Distance to the lowest polymorph of the same formula (eV/atom): 0.000
data_HfNbPCl2
_chemical_formula_sum 'Hf1 Nb1 P1 Cl2'
_symmetry_space_group_name_H-M 'P 1'
_symmetry_Int_Tables_number 1
_cell_length_a 4.811
_cell_length_b 4.811
_cell_length_c 5.212
_cell_angle_alpha 90.00
_cell_angle_beta 90.00
_cell_angle_gamma 90.00
loop_
_symmetry_equiv_pos_as_xyz
'x,y,z'
loop_
_atom_site_label
_atom_site_fract_x
_atom_site_fract_y
_atom_site_fract_z
Hf1 0.000 0.000 0.000
Nb1 0.500 0.500 0.500
P1 0.000 0.000 0.500
Cl1 0.000 0.500 0.000
Cl2 0.500 0.000 0.000

=====

# HfNb2PdCl PBE optimized geometry
# Energy relative to the elements, uncorrected (eV/atom): 0.39
data_HfNb2PdCl
_chemical_formula_sum 'Hf1 Nb2 Pd1 Cl1'
_symmetry_space_group_name_H-M 'P 1'
_symmetry_Int_Tables_number 1
_cell_length_a 4.577
_cell_length_b 4.577
_cell_length_c 4.560
_cell_angle_alpha 90.00
_cell_angle_beta 90.00
_cell_angle_gamma 90.00
loop_
_symmetry_equiv_pos_as_xyz
'x,y,z'
loop_
_atom_site_label
_atom_site_fract_x
_atom_site_fract_y
_atom_site_fract_z
Hf1 0.000 0.000 0.000
Nb1 0.000 0.500 0.500
Nb2 0.500 0.000 0.500
Pd1 0.500 0.500 0.000
Cl1 0.500 0.500 0.500

=====

- Look up the energy relative to the elements, uncorrected of the eighth one.
  0.25 eV/atom

=====

- What is the energy relative to the elements, uncorrected in the eleventh record?
  0.07 eV/atom